# 1
This record from the Alexandria database describes a relaxed structure of Mn2CuRe. The functional is PBE.

Computed properties:
spin magnetization: 1.91 μB/cell
calculated total energy: -0.313 hartree per atom
formation energy: 0.208 eV per atom

Unit cell a=4.116 b=4.116 c=4.116 alpha=60.00 beta=60.00 gamma=60.00
Atoms (fractional coordinates):
Mn 0.250 0.250 0.250
Mn 0.750 0.750 0.750
Re 0.500 0.500 0.500
Cu 0.000 0.000 0.000

# 2
This record from the Alexandria database describes a relaxed structure of NdAlZn. The functional is PBE.

Computed properties:
spin magnetization: 0.00 μB/cell
calculated total energy: -0.136 hartree per atom
formation energy: -0.427 eV per atom

Unit cell a=3.739 b=4.574 c=4.574 alpha=120.00 beta=90.00 gamma=90.00
Atoms (fractional coordinates):
Zn 0.167 0.000 0.000
Nd 0.666 0.333 0.667
Al 0.166 0.667 0.333

# 3
This record from the Alexandria database describes a relaxed structure of TaFeBr. The functional is PBE.

Computed properties:
spin magnetization: 0.73 μB/cell
raw formation energy: 0.999 eV per atom
calculated total energy: -0.233 hartree per atom

Unit cell a=4.363 b=4.363 c=4.363 alpha=60.00 beta=60.00 gamma=60.00
Atoms (fractional coordinates):
Br 0.000 0.000 0.000
Fe 0.500 0.500 0.500
Ta 0.750 0.750 0.750

# 4
This record from the Alexandria database describes a relaxed structure of Dy6TlTe3P2. The functional is PBE.

Computed properties:
spin magnetization: 0.00 μB/cell
raw formation energy: -1.278 eV per atom
calculated total energy: -0.201 hartree per atom

Unit cell a=4.162 b=8.687 c=9.544 alpha=103.99 beta=102.59 gamma=90.00
Atoms (fractional coordinates):
Te 0.500 0.500 0.000
Te 0.164 0.831 0.328
Te 0.836 0.169 0.672
Dy 0.012 0.254 0.024
Dy 0.324 0.437 0.648
Dy 0.668 0.114 0.336
Dy 0.332 0.886 0.664
Dy 0.676 0.563 0.352
Dy 0.988 0.746 0.976
P 0.169 0.339 0.339
P 0.831 0.661 0.661
Tl 0.500 0.000 0.000

# 5
This record from the Alexandria database describes a relaxed structure of PuHg3. The functional is PBE.

Computed properties:
spin magnetization: 6.35 μB/cell
calculated total energy: -0.142 hartree per atom
formation energy: -0.047 eV per atom

Unit cell a=3.144 b=5.884 c=6.474 alpha=117.03 beta=104.05 gamma=90.00
Atoms (fractional coordinates):
Hg 0.746 0.074 0.491
Hg 0.500 0.503 0.000
Hg 0.254 0.583 0.509
Pu 0.000 0.006 0.000

# 6
This record from the Alexandria database describes a relaxed structure of KThHgTe3. The functional is PBE.

Computed properties:
spin magnetization: 0.00 μB/cell
raw formation energy: -0.847 eV per atom
calculated total energy: -0.143 hartree per atom

Unit cell a=4.543 b=9.017 c=11.564 alpha=112.19 beta=90.00 gamma=90.00
Atoms (fractional coordinates):
Te 0.250 0.736 0.450
Te 0.750 0.264 0.550
Te 0.250 0.545 0.864
Te 0.750 0.929 0.111
Te 0.250 0.071 0.889
Te 0.750 0.455 0.136
Hg 0.250 0.084 0.619
Hg 0.750 0.916 0.381
K 0.750 0.738 0.719
K 0.250 0.262 0.281
Th 0.250 0.713 0.163
Th 0.750 0.287 0.837

# 7
This record from the Alexandria database describes a relaxed structure of Mg2ZrPt. The functional is PBE.

Computed properties:
spin magnetization: 0.00 μB/cell
calculated total energy: -0.182 hartree per atom
formation energy: -0.499 eV per atom

Unit cell a=3.452 b=3.432 c=7.534 alpha=62.91 beta=90.00 gamma=90.00
Atoms (fractional coordinates):
Pt 0.000 0.489 0.511
Zr 0.500 0.783 0.717
Mg 0.500 0.234 0.266
Mg 0.000 0.994 0.005

# 8
This record from the Alexandria database describes a relaxed structure of SrBeRh2. The functional is PBE.

Computed properties:
spin magnetization: 0.00 μB/cell
calculated total energy: -0.173 hartree per atom
formation energy: 0.309 eV per atom

Unit cell a=5.157 b=5.157 c=5.157 alpha=134.65 beta=134.65 gamma=66.08
Atoms (fractional coordinates):
Sr 0.500 0.500 0.000
Be 0.750 0.250 0.500
Rh 0.250 0.750 0.500
Rh 0.000 0.000 0.000